Here is crystalline Cs2CrSBr6 at its relaxed geometry from Alexandria via LeMat-Bulk. Energies are from PBE.

Lattice parameters (Å, degrees): 7.4271 7.4271 8.1245 62.80 62.80 90.00
Closest atoms and distances in Å follow each position.
Fractional positions:
Br (0.2544, 0.2544, 0.0000)  1 S 2.58, 1 Cr 2.67
Cs (0.7500, 0.2500, 0.5000)  12 Br 3.76-4.06
Br (0.2007, 0.2007, 0.5986)  1 Cr 2.49
Cs (0.2500, 0.7500, 0.5000)  12 Br 3.76-4.06
Br (0.2544, 0.7456, 0.0000)  1 S 2.58, 1 Cr 2.67
Br (0.7993, 0.7993, 0.4014)  1 Cr 2.49
Br (0.7456, 0.2544, 0.0000)  1 S 2.58, 1 Cr 2.67
Cr (0.0000, 0.0000, 0.0000)  6 Br 2.49-2.67
S (0.5000, 0.5000, 0.0000)  4 Br 2.58
Br (0.7456, 0.7456, 0.0000)  1 S 2.58, 1 Cr 2.67

Results
Total energy   -3.42 eV/atom
V   34.19 A^3/atom
ΔE_f (raw)   -0.868 eV/atom
D(E_F)   1.286 states/eV/f.u.